VASP calculation (PBE) on Ni2Ge2Mo after structural relaxation.

a b c (Å): 6.9884 6.9884 2.7330
angles (deg): 90.00 90.00 90.00
Last column: nearest neighbours and their distance in Å.
Sites, in units of the cell vectors:
Ni  0.1432  0.3568  0.0000  6 Ge 2.44-2.47, 2 Ni 2.73
Ni  0.3568  0.8568  0.0000  6 Ge 2.44-2.47, 2 Ni 2.73
Ni  0.6432  0.1432  0.0000  6 Ge 2.44-2.47, 2 Ni 2.73
Ni  0.8568  0.6432  0.0000  6 Ge 2.44-2.47, 2 Ni 2.73
Ge  0.1519  0.6519  0.5000  6 Ni 2.44-2.47, 2 Mo 2.65, 2 Ge 2.73
Ge  0.3481  0.1519  0.5000  6 Ni 2.44-2.47, 2 Mo 2.65, 2 Ge 2.73
Ge  0.6519  0.8481  0.5000  6 Ni 2.44-2.47, 2 Mo 2.65, 2 Ge 2.73
Ge  0.8481  0.3481  0.5000  6 Ni 2.44-2.47, 2 Mo 2.65, 2 Ge 2.73
Mo  0.0000  0.0000  0.5000  4 Ge 2.65, 2 Mo 2.73
Mo  0.5000  0.5000  0.5000  4 Ge 2.65, 2 Mo 2.73

Output
Crystal system: tetragonal
ΔH_f (0 K), eV per atom: -0.1373
Magnetization, μB per cell: 0.0
V, Å³/f.u.: 67